# AcNdAgOs

A relaxed structure of AcNdAgOs (PBE, the Alexandria database).

energy relative to the elements	-0.021	eV per atom

abc: 5.240 5.240 5.240
angles: 60.00 60.00 60.00
Positions (direct):
Ac1 0.000 0.000 0.000
Nd1 0.500 0.500 0.500
Ag1 0.250 0.250 0.250
Os1 0.750 0.750 0.750

---

# PuUBr6

A relaxed structure of PuUBr6 (PBE, the Alexandria database).

energy relative to the elements, uncorrected	-1.40	eV per atom
E above lowest polymorph	0.00	eV/f.u.

abc: 7.187 7.397 7.397
angles: 121.77 97.96 97.96
Positions (direct):
Br1 0.743 0.250 0.250
Br2 0.253 0.408 0.107
Br3 0.253 0.107 0.408
Br4 0.747 0.893 0.592
U1 0.500 0.500 0.500
Br5 0.747 0.592 0.893
Br6 0.257 0.750 0.750
Pu1 0.000 0.000 0.000

---

| no. | theoretical density (Mg/m³) | total magnetization (μB/f.u.) |
| --- | --- | --- |
| 1 | 10.92 | 0.000 |
| 2 | 4.98 | 8.000 |